*A*
Density functional theory data (GGA-PBE) for a relaxed K2Sb2Au3 crystal.

Values from the calculation:
- crystal system = monoclinic

Cell lengths 3.5337, 6.5166, 9.9210 Å; angles 115.84, 90.00, 90.00 degrees
Positions (direct):
K (0.5000, 0.7987, 0.2072)
K (0.5000, 0.2013, 0.7928)
Sb (0.0000, 0.6463, 0.7263)
Sb (0.0000, 0.3537, 0.2737)
Au (0.0000, 0.2004, 0.4874)
Au (0.0000, 0.0000, 0.0000)
Au (0.0000, 0.7996, 0.5126)

***

*B*
Density functional theory data (GGA-PBE) for a relaxed K2Sb2Au3 crystal.

Values from the calculation:
- crystal system = monoclinic

Cell lengths 4.6352, 6.6335, 7.8237 Å; angles 121.29, 90.00, 110.45 degrees
Positions (direct):
K (0.8408, 0.6816, 0.2139)
K (0.1592, 0.3184, 0.7861)
Sb (0.8651, 0.7301, 0.7433)
Sb (0.1349, 0.2699, 0.2567)
Au (0.5000, 0.0000, 0.0000)
Au (0.5905, 0.1809, 0.4391)
Au (0.4095, 0.8191, 0.5609)

***

Least stable: *A*

***

*A*
Density functional theory data (GGA-PBE) for a relaxed KSb2Au3 crystal.

Values from the calculation:
- crystal system = monoclinic

Cell lengths 4.6861, 9.3174, 8.3479 Å; angles 108.03, 90.00, 104.56 degrees
Positions (direct):
K (0.8362, 0.6724, 0.9429)
K (0.1638, 0.3276, 0.0571)
Sb (0.4999, 0.9998, 0.8230)
Sb (0.5001, 0.0002, 0.1770)
Sb (0.8111, 0.6222, 0.3688)
Sb (0.1889, 0.3778, 0.6312)
Au (0.3356, 0.6712, 0.6139)
Au (0.9333, 0.8666, 0.6813)
Au (0.6325, 0.2650, 0.7290)
Au (0.3675, 0.7350, 0.2710)
Au (0.0667, 0.1334, 0.3187)
Au (0.6644, 0.3288, 0.3861)

***

*B*
Density functional theory data (GGA-PBE) for a relaxed KSb2Au3 crystal.

Values from the calculation:
- crystal system = monoclinic

Cell lengths 4.7593, 10.9740, 10.9040 Å; angles 37.64, 77.39, 77.48 degrees
Positions (direct):
K (0.8973, 0.9616, 0.2439)
K (0.1027, 0.0384, 0.7561)
Sb (0.4818, 0.3187, 0.7176)
Sb (0.5182, 0.6813, 0.2824)
Sb (0.7724, 0.6737, 0.7816)
Sb (0.2276, 0.3263, 0.2184)
Au (0.3404, 0.4321, 0.8872)
Au (0.9154, 0.4087, 0.7605)
Au (0.7320, 0.1129, 0.4231)
Au (0.2680, 0.8871, 0.5769)
Au (0.0846, 0.5913, 0.2395)
Au (0.6596, 0.5679, 0.1128)

***

Least stable: *A*

***

*A*
Density functional theory data (GGA-PBE) for a relaxed KSbAu3 crystal.

Values from the calculation:
- crystal system = orthorhombic

Cell lengths 5.8932, 7.3805, 7.3805 Å; angles 98.45, 66.47, 66.47 degrees
Positions (direct):
K (0.0000, 0.5000, 0.5000)
K (0.5000, 0.0000, 0.0000)
Sb (0.7500, 0.2093, 0.2907)
Sb (0.2500, 0.7907, 0.7093)
Au (0.9283, 0.2661, 0.8774)
Au (0.5717, 0.6226, 0.2339)
Au (0.4283, 0.3774, 0.7661)
Au (0.0717, 0.7339, 0.1226)
Au (0.0000, 0.0000, 0.5000)
Au (0.5000, 0.0000, 0.5000)

***

*B*
Density functional theory data (GGA-PBE) for a relaxed KSbAu3 crystal.

Values from the calculation:
- crystal system = cubic

Cell lengths 5.3887, 5.3887, 5.3887 Å; angles 90.00, 90.00, 90.00 degrees
Positions (direct):
Sb (0.5000, 0.5000, 0.5000)
K (0.0000, 0.0000, 0.0000)
Au (0.0000, 0.5000, 0.0000)
Au (0.0000, 0.0000, 0.5000)
Au (0.5000, 0.0000, 0.0000)

***

Least stable: *B*